A relaxed ZnPt3Se crystal. Source: Alexandria via LeMat-Bulk, functional PBE-GGA.

Cell lengths 4.6970, 4.6970, 4.6970 Å; angles 90.00, 90.00, 90.00 degrees
Sites, in units of the cell vectors:
Zn 0.5000 0.5000 0.5000
Pt 0.0000 0.5000 0.0000
Se 0.0000 0.0000 0.0000
Pt 0.5000 0.0000 0.0000
Pt 0.0000 0.0000 0.5000

Results
Its formation energy (no corrections) is 0.596 eV per atom.